# Mn2NiPb PBEsol optimized geometry
data_Mn2NiPb
_chemical_formula_sum 'Mn8 Ni4 Pb4'
_cell_length_a 6.0442
_cell_length_b 6.0442
_cell_length_c 6.0442
_cell_angle_alpha 90.00
_cell_angle_beta 90.00
_cell_angle_gamma 90.00
_space_group_name_H-M_alt 'P 1'
_space_group_IT_number 1
loop_
_space_group_symop_operation_xyz
'x,y,z'
loop_
_atom_site_label
_atom_site_type_symbol
_atom_site_fract_x
_atom_site_fract_y
_atom_site_fract_z
Mn1 Mn 0.0000 0.0000 0.0000
Mn2 Mn 0.0000 0.5000 0.5000
Mn3 Mn 0.2500 0.2500 0.2500
Mn4 Mn 0.2500 0.7500 0.7500
Mn5 Mn 0.5000 0.0000 0.5000
Mn6 Mn 0.5000 0.5000 0.0000
Mn7 Mn 0.7500 0.2500 0.7500
Mn8 Mn 0.7500 0.7500 0.2500
Ni1 Ni 0.0000 0.0000 0.5000
Ni2 Ni 0.0000 0.5000 0.0000
Ni3 Ni 0.5000 0.0000 0.0000
Ni4 Ni 0.5000 0.5000 0.5000
Pb1 Pb 0.2500 0.2500 0.7500
Pb2 Pb 0.2500 0.7500 0.2500
Pb3 Pb 0.7500 0.2500 0.2500
Pb4 Pb 0.7500 0.7500 0.7500
# E_form (eV/atom): 0.456
# Volume (Å³/f.u.): 55.2

# Mn2NiPb PBEsol optimized geometry
data_Mn2NiPb
_chemical_formula_sum 'Mn6 Ni3 Pb3'
_cell_length_a 3.1024
_cell_length_b 3.1024
_cell_length_c 24.0581
_cell_angle_alpha 90.00
_cell_angle_beta 90.00
_cell_angle_gamma 120.00
_space_group_name_H-M_alt 'P 1'
_space_group_IT_number 1
loop_
_space_group_symop_operation_xyz
'x,y,z'
loop_
_atom_site_label
_atom_site_type_symbol
_atom_site_fract_x
_atom_site_fract_y
_atom_site_fract_z
Mn1 Mn 0.0000 0.0000 0.2352
Mn2 Mn 0.0000 0.0000 0.7648
Mn3 Mn 0.3333 0.6667 0.4315
Mn4 Mn 0.3333 0.6667 0.9018
Mn5 Mn 0.6667 0.3333 0.0982
Mn6 Mn 0.6667 0.3333 0.5685
Ni1 Ni 0.0000 0.0000 0.5000
Ni2 Ni 0.3333 0.6667 0.1667
Ni3 Ni 0.6667 0.3333 0.8333
Pb1 Pb 0.0000 0.0000 0.0000
Pb2 Pb 0.3333 0.6667 0.6667
Pb3 Pb 0.6667 0.3333 0.3333
# E_form (eV/atom): 0.593
# Volume (Å³/f.u.): 66.8

# MnNiPb3 PBEsol optimized geometry
data_MnNiPb3
_chemical_formula_sum 'Mn1 Ni1 Pb3'
_cell_length_a 5.0391
_cell_length_b 5.0391
_cell_length_c 5.0391
_cell_angle_alpha 90.00
_cell_angle_beta 90.00
_cell_angle_gamma 90.00
_space_group_name_H-M_alt 'P 1'
_space_group_IT_number 1
loop_
_space_group_symop_operation_xyz
'x,y,z'
loop_
_atom_site_label
_atom_site_type_symbol
_atom_site_fract_x
_atom_site_fract_y
_atom_site_fract_z
Mn1 Mn 0.0000 0.0000 0.0000
Ni1 Ni 0.5000 0.5000 0.5000
Pb1 Pb 0.0000 0.5000 0.5000
Pb2 Pb 0.5000 0.0000 0.5000
Pb3 Pb 0.5000 0.5000 0.0000
# E_form (eV/atom): 0.596
# Volume (Å³/f.u.): 128.0

# MnNiPb2 PBEsol optimized geometry
data_MnNiPb2
_chemical_formula_sum 'Mn1 Ni1 Pb2'
_cell_length_a 3.3235
_cell_length_b 4.7242
_cell_length_c 4.7610
_cell_angle_alpha 90.00
_cell_angle_beta 90.00
_cell_angle_gamma 90.00
_space_group_name_H-M_alt 'P 1'
_space_group_IT_number 1
loop_
_space_group_symop_operation_xyz
'x,y,z'
loop_
_atom_site_label
_atom_site_type_symbol
_atom_site_fract_x
_atom_site_fract_y
_atom_site_fract_z
Mn1 Mn 0.0000 0.0000 0.0000
Ni1 Ni 0.0000 0.5000 0.5000
Pb1 Pb 0.5000 0.0000 0.5000
Pb2 Pb 0.5000 0.5000 0.0000
# E_form (eV/atom): 0.454
# Volume (Å³/f.u.): 74.8

# Mn3NiPd PBEsol optimized geometry
data_Mn3NiPd
_chemical_formula_sum 'Mn3 Ni1 Pd1'
_cell_length_a 4.3723
_cell_length_b 4.3723
_cell_length_c 4.3723
_cell_angle_alpha 90.00
_cell_angle_beta 90.00
_cell_angle_gamma 90.00
_space_group_name_H-M_alt 'P 1'
_space_group_IT_number 1
loop_
_space_group_symop_operation_xyz
'x,y,z'
loop_
_atom_site_label
_atom_site_type_symbol
_atom_site_fract_x
_atom_site_fract_y
_atom_site_fract_z
Mn1 Mn 0.0000 0.0000 0.5000
Mn2 Mn 0.0000 0.5000 0.0000
Mn3 Mn 0.5000 0.0000 0.0000
Ni1 Ni 0.0000 0.0000 0.0000
Pd1 Pd 0.5000 0.5000 0.5000
# E_form (eV/atom): 0.945
# Volume (Å³/f.u.): 83.6

# MnNiSn2Pd PBEsol optimized geometry
data_MnNiSn2Pd
_chemical_formula_sum 'Mn1 Ni1 Sn2 Pd1'
_cell_length_a 4.8118
_cell_length_b 4.8118
_cell_length_c 4.6190
_cell_angle_alpha 90.00
_cell_angle_beta 90.00
_cell_angle_gamma 90.00
_space_group_name_H-M_alt 'P 1'
_space_group_IT_number 1
loop_
_space_group_symop_operation_xyz
'x,y,z'
loop_
_atom_site_label
_atom_site_type_symbol
_atom_site_fract_x
_atom_site_fract_y
_atom_site_fract_z
Mn1 Mn 0.0000 0.0000 0.0000
Ni1 Ni 0.5000 0.5000 0.5000
Sn1 Sn 0.0000 0.5000 0.0000
Sn2 Sn 0.5000 0.0000 0.0000
Pd1 Pd 0.0000 0.0000 0.5000
# E_form (eV/atom): 0.906
# Volume (Å³/f.u.): 106.9

# MnNi2Pt2 PBEsol optimized geometry
data_MnNi2Pt2
_chemical_formula_sum 'Mn2 Ni4 Pt4'
_cell_length_a 3.2755
_cell_length_b 3.2755
_cell_length_c 12.9211
_cell_angle_alpha 90.00
_cell_angle_beta 90.00
_cell_angle_gamma 90.00
_space_group_name_H-M_alt 'P 1'
_space_group_IT_number 1
loop_
_space_group_symop_operation_xyz
'x,y,z'
loop_
_atom_site_label
_atom_site_type_symbol
_atom_site_fract_x
_atom_site_fract_y
_atom_site_fract_z
Mn1 Mn 0.0000 0.0000 0.0000
Mn2 Mn 0.5000 0.5000 0.5000
Ni1 Ni 0.0000 0.5000 0.2500
Ni2 Ni 0.0000 0.5000 0.7500
Ni3 Ni 0.5000 0.0000 0.2500
Ni4 Ni 0.5000 0.0000 0.7500
Pt1 Pt 0.0000 0.0000 0.3978
Pt2 Pt 0.0000 0.0000 0.6022
Pt3 Pt 0.5000 0.5000 0.1022
Pt4 Pt 0.5000 0.5000 0.8978
# E_form (eV/atom): 0.142
# Volume (Å³/f.u.): 69.3

# MnNiPt2 PBEsol optimized geometry
data_MnNiPt2
_chemical_formula_sum 'Mn2 Ni2 Pt4'
_cell_length_a 3.7303
_cell_length_b 3.7303
_cell_length_c 7.6386
_cell_angle_alpha 90.00
_cell_angle_beta 90.00
_cell_angle_gamma 90.00
_space_group_name_H-M_alt 'P 1'
_space_group_IT_number 1
loop_
_space_group_symop_operation_xyz
'x,y,z'
loop_
_atom_site_label
_atom_site_type_symbol
_atom_site_fract_x
_atom_site_fract_y
_atom_site_fract_z
Mn1 Mn 0.0000 0.0000 0.0000
Mn2 Mn 0.5000 0.5000 0.5000
Ni1 Ni 0.0000 0.5000 0.7500
Ni2 Ni 0.5000 0.0000 0.2500
Pt1 Pt 0.0000 0.0000 0.5000
Pt2 Pt 0.0000 0.5000 0.2500
Pt3 Pt 0.5000 0.0000 0.7500
Pt4 Pt 0.5000 0.5000 0.0000
# E_form (eV/atom): -0.171
# Volume (Å³/f.u.): 53.1

# MnNiPt2 PBEsol optimized geometry
data_MnNiPt2
_chemical_formula_sum 'Mn1 Ni1 Pt2'
_cell_length_a 2.7164
_cell_length_b 3.6602
_cell_length_c 5.3777
_cell_angle_alpha 90.00
_cell_angle_beta 90.00
_cell_angle_gamma 90.00
_space_group_name_H-M_alt 'P 1'
_space_group_IT_number 1
loop_
_space_group_symop_operation_xyz
'x,y,z'
loop_
_atom_site_label
_atom_site_type_symbol
_atom_site_fract_x
_atom_site_fract_y
_atom_site_fract_z
Mn1 Mn 0.0000 0.0000 0.0000
Ni1 Ni 0.5000 0.5000 0.2374
Pt1 Pt 0.0000 0.0000 0.4711
Pt2 Pt 0.5000 0.5000 0.7563
# E_form (eV/atom): -0.122
# Volume (Å³/f.u.): 53.5

# MnNiPt2 PBEsol optimized geometry
data_MnNiPt2
_chemical_formula_sum 'Mn3 Ni3 Pt6'
_cell_length_a 2.7097
_cell_length_b 2.7097
_cell_length_c 25.3199
_cell_angle_alpha 90.00
_cell_angle_beta 90.00
_cell_angle_gamma 120.00
_space_group_name_H-M_alt 'P 1'
_space_group_IT_number 1
loop_
_space_group_symop_operation_xyz
'x,y,z'
loop_
_atom_site_label
_atom_site_type_symbol
_atom_site_fract_x
_atom_site_fract_y
_atom_site_fract_z
Mn1 Mn 0.0000 0.0000 0.0000
Mn2 Mn 0.3333 0.6667 0.6667
Mn3 Mn 0.6667 0.3333 0.3333
Ni1 Ni 0.0000 0.0000 0.5000
Ni2 Ni 0.3333 0.6667 0.1667
Ni3 Ni 0.6667 0.3333 0.8333
Pt1 Pt 0.0000 0.0000 0.2495
Pt2 Pt 0.0000 0.0000 0.7505
Pt3 Pt 0.3333 0.6667 0.4172
Pt4 Pt 0.3333 0.6667 0.9162
Pt5 Pt 0.6667 0.3333 0.0838
Pt6 Pt 0.6667 0.3333 0.5828
# E_form (eV/atom): -0.035
# Volume (Å³/f.u.): 53.7

# MnNiPt4 PBEsol optimized geometry
data_MnNiPt4
_chemical_formula_sum 'Mn1 Ni1 Pt4'
_cell_length_a 5.1314
_cell_length_b 5.1314
_cell_length_c 5.1314
_cell_angle_alpha 60.00
_cell_angle_beta 60.00
_cell_angle_gamma 60.00
_space_group_name_H-M_alt 'P 1'
_space_group_IT_number 1
loop_
_space_group_symop_operation_xyz
'x,y,z'
loop_
_atom_site_label
_atom_site_type_symbol
_atom_site_fract_x
_atom_site_fract_y
_atom_site_fract_z
Mn1 Mn 0.0000 0.0000 0.0000
Ni1 Ni 0.2500 0.2500 0.2500
Pt1 Pt 0.1256 0.6248 0.6248
Pt2 Pt 0.6248 0.1256 0.6248
Pt3 Pt 0.6248 0.6248 0.1256
Pt4 Pt 0.6248 0.6248 0.6248
# E_form (eV/atom): 0.239
# Volume (Å³/f.u.): 95.5

# MnSiNi2Pt PBEsol optimized geometry
data_MnSiNi2Pt
_chemical_formula_sum 'Mn1 Si1 Ni2 Pt1'
_cell_length_a 4.0814
_cell_length_b 4.0814
_cell_length_c 4.2830
_cell_angle_alpha 90.00
_cell_angle_beta 90.00
_cell_angle_gamma 90.00
_space_group_name_H-M_alt 'P 1'
_space_group_IT_number 1
loop_
_space_group_symop_operation_xyz
'x,y,z'
loop_
_atom_site_label
_atom_site_type_symbol
_atom_site_fract_x
_atom_site_fract_y
_atom_site_fract_z
Mn1 Mn 0.0000 0.0000 0.0000
Si1 Si 0.0000 0.0000 0.5000
Ni1 Ni 0.0000 0.5000 0.5000
Ni2 Ni 0.5000 0.0000 0.5000
Pt1 Pt 0.5000 0.5000 0.0000
# Volume (Å³/f.u.): 71.3
# Energy relative to the elements, uncorrected (eV per atom): 0.57